(1)
This record from the Alexandria database describes CuRe2Ni after structural relaxation. The functional is PBE.

The formation enthalpy at 0 K comes out at 0.175 eV per atom. For the relative energy among the computed polymorphs, the calculation gives 20 kJ/mol of formula units. The calculation puts the total energy at -34.07 eV per cell.

The structure belongs to space group P4mm (No. 99); the cell edges are 3.086, 3.086 and 5.594 Å and the angles 90.00°, 90.00° and 90.00°. Symmetry generates all atoms from Cu at (0.000, 0.000, 0.000), Re at (0.000, 0.000, 0.472), Re at (0.500, 0.500, 0.727) and Ni at (0.500, 0.500, 0.201).

---

(2)
This record from the Alexandria database describes CuRe2Ni after structural relaxation. The functional is PBE.

The formation enthalpy at 0 K comes out at 0.136 eV per atom. For the relative energy among the computed polymorphs, the calculation gives 5 kJ/mol of formula units. The calculation puts the total energy at -68.46 eV per cell.

The structure belongs to space group I-4m2 (No. 119); the cell edges are 3.766, 3.766 and 7.465 Å and the angles 90.00°, 90.00° and 90.00°. Symmetry generates all atoms from Cu at (0.000, 0.000, 0.000), Re at (0.000, 0.000, 0.500), Re at (0.000, 0.500, 0.250) and Ni at (0.000, 0.500, 0.750).

---

(3)
This record from the Alexandria database describes CuRe2Ni after structural relaxation. The functional is PBE.

The formation enthalpy at 0 K comes out at 0.233 eV per atom. For the relative energy among the computed polymorphs, the calculation gives 42 kJ/mol of formula units. The calculation puts the total energy at -67.68 eV per cell.

The structure belongs to space group Cmmm (No. 65); the cell edges are 5.187, 7.902 and 2.588 Å and the angles 90.00°, 90.00° and 90.00°. Symmetry generates all atoms from Cu at (0.000, 0.000, 0.000), Re at (0.250, 0.250, 0.500) and Ni at (0.000, 0.500, 0.000).

---

(4)
This record from the Alexandria database describes Cu2ReNi after structural relaxation. The functional is PBE.

The formation enthalpy at 0 K comes out at 0.452 eV per atom. For the relative energy among the computed polymorphs, the calculation gives 144 kJ/mol of formula units. The calculation puts the total energy at -98.45 eV per cell.

The structure belongs to space group Fm-3m (No. 225); the cell edges are 5.839, 5.839 and 5.839 Å and the angles 90.00°, 90.00° and 90.00°. Symmetry generates all atoms from Cu at (0.250, 0.250, 0.250), Re at (0.000, 0.000, 0.000) and Ni at (0.000, 0.000, 0.500).

---

(5)
This record from the Alexandria database describes Cu2ReNi after structural relaxation. The functional is PBE.

The formation enthalpy at 0 K comes out at 0.398 eV per atom. For the relative energy among the computed polymorphs, the calculation gives 123 kJ/mol of formula units. The calculation puts the total energy at -49.66 eV per cell.

The structure belongs to space group I4/mmm (No. 139); the cell edges are 3.657, 3.657 and 7.505 Å and the angles 90.00°, 90.00° and 90.00°. Symmetry generates all atoms from Cu at (0.000, 0.500, 0.250), Re at (0.000, 0.000, 0.000) and Ni at (0.000, 0.000, 0.500).

---

(6)
This record from the Alexandria database describes CuRe2Ni after structural relaxation. The functional is PBE.

The formation enthalpy at 0 K comes out at 1.940 eV per atom. For the relative energy among the computed polymorphs, the calculation gives 701 kJ/mol of formula units. The calculation puts the total energy at -108.05 eV per cell.

The structure belongs to space group I-42d (No. 122); the cell edges are 5.327, 5.327 and 10.584 Å and the angles 90.00°, 90.00° and 90.00°. Symmetry generates all atoms from Cu at (0.000, 0.000, 0.000), Re at (0.238, 0.250, 0.625) and Ni at (0.000, 0.000, 0.500).

---

(7)
This record from the Alexandria database describes CuRe2Ni after structural relaxation. The functional is PBE.

The formation enthalpy at 0 K comes out at 0.161 eV per atom. For the relative energy among the computed polymorphs, the calculation gives 14 kJ/mol of formula units. The calculation puts the total energy at -102.39 eV per cell.

The structure belongs to space group R3m (No. 160, hexagonal axes); the cell edges are 2.7224, 2.7224 and 25.5345 Å and the angles 90.00°, 90.00° and 120.00°. Symmetry generates all atoms from Cu at (0.0000, 0.0000, 0.0000), Re at (0.0000, 0.0000, 0.5060), Re at (0.0000, 0.0000, 0.7542) and Ni at (0.0000, 0.0000, 0.2555).

---

(8)
This record from the Alexandria database describes Cu2ReNi after structural relaxation. The functional is PBE.

The formation enthalpy at 0 K comes out at 0.187 eV per atom. For the relative energy among the computed polymorphs, the calculation gives 42 kJ/mol of formula units. The calculation puts the total energy at -51.35 eV per cell.

The structure belongs to space group Cm (No. 8); the cell edges are 8.546, 2.560 and 4.640 Å and the angles 90.00°, 98.00° and 90.00°. Symmetry generates all atoms from Cu at (0.000, 0.000, 0.000), Cu at (0.249, 0.000, 0.779), Re at (0.253, 0.500, 0.286) and Ni at (0.001, 0.500, 0.493).

---

(9)
This record from the Alexandria database describes Cu2ReNi after structural relaxation. The functional is PBE.

The formation enthalpy at 0 K comes out at 0.275 eV per atom. For the relative energy among the computed polymorphs, the calculation gives 76 kJ/mol of formula units. The calculation puts the total energy at -50.65 eV per cell.

The structure belongs to space group Immm (No. 71); the cell edges are 2.592, 4.397 and 8.840 Å and the angles 90.00°, 90.00° and 90.00°. Symmetry generates all atoms from Cu at (0.000, 0.000, 0.239), Re at (0.000, 0.500, 0.000) and Ni at (0.000, 0.500, 0.500).

---

(10)
This record from the Alexandria database describes Cu2ReNi after structural relaxation. The functional is PBE.

The formation enthalpy at 0 K comes out at 0.165 eV per atom. For the relative energy among the computed polymorphs, the calculation gives 34 kJ/mol of formula units. The calculation puts the total energy at -25.76 eV per cell.

The structure belongs to space group Pmm2 (No. 25); the cell edges are 2.562, 3.713 and 5.284 Å and the angles 90.00°, 90.00° and 90.00°. Symmetry generates all atoms from Cu at (0.000, 0.000, 0.000), Cu at (0.500, 0.500, 0.231), Re at (0.500, 0.500, 0.722) and Ni at (0.000, 0.000, 0.503).

---

(11)
This record from the Alexandria database describes CuRe2Ni after structural relaxation. The functional is PBE.

The formation enthalpy at 0 K comes out at 0.123 eV per atom. For the relative energy among the computed polymorphs, the calculation gives 0 kJ/mol of formula units. The calculation puts the total energy at -34.28 eV per cell.

The structure belongs to space group Pm (No. 6); the cell edges are 2.602, 4.154 and 5.003 Å and the angles 90.00°, 100.52° and 90.00°. Symmetry generates all atoms from Cu at (0.000, 0.000, 0.000), Re at (0.438, 0.500, 0.755), Re at (0.671, 0.000, 0.482) and Ni at (0.116, 0.500, 0.238).

---

(12)
This record from the Alexandria database describes CuRe2Ni after structural relaxation. The functional is PBE.

The formation enthalpy at 0 K comes out at 0.458 eV per atom. For the relative energy among the computed polymorphs, the calculation gives 129 kJ/mol of formula units. The calculation puts the total energy at -131.77 eV per cell.

The structure belongs to space group Fm-3m (No. 225); the cell edges are 5.942, 5.942 and 5.942 Å and the angles 90.00°, 90.00° and 90.00°. Symmetry generates all atoms from Cu at (0.000, 0.000, 0.000), Re at (0.250, 0.250, 0.250) and Ni at (0.000, 0.000, 0.500).